Dy2VF8 | PBE+U | relaxed

a b c (Å): 6.913 6.913 6.019
angles (deg): 101.67 101.67 29.64
Fractional coordinates of all 11 atoms:
Dy 0.180 0.180 0.203
Dy 0.820 0.820 0.797
V 0.500 0.500 0.500
F 0.026 0.026 0.313
F 0.209 0.209 0.838
F 0.329 0.329 0.512
F 0.400 0.400 0.963
F 0.600 0.600 0.037
F 0.671 0.671 0.488
F 0.791 0.791 0.162
F 0.974 0.974 0.687

## Properties
The calculation puts the energy at -71.9 eV for the cell shown. The size of the total moment comes out at 0.273 μB/atom. The crystal system is monoclinic.